(1)
ReTcSe2 after structural relaxation, computed with PBE.

Cell: 3.0900 3.0900 28.9665 Å, 90.00 90.00 120.00°
Space group R3m (No. 160, hexagonal axes)
Symmetry-distinct sites (fractional):
1 Re 0.0000 0.0000 0.0000
2 Tc 0.0000 0.0000 0.7462
3 Se 0.0000 0.0000 0.2748
4 Se 0.0000 0.0000 0.4702

Properties
Energy above the lowest structure with this stoichiometry, meV per atom: 79.1



(2)
ReTcSe2 after structural relaxation, computed with PBE.

Cell: 3.0242 5.5321 8.0876 Å, 90.00 90.00 90.00°
Space group Immm (No. 71)
Symmetry-distinct sites (fractional):
1 Re 0.0000 0.0000 0.0000
2 Tc 0.0000 0.0000 0.5000
3 Se 0.0000 0.5000 0.2511

Properties
Energy above the lowest structure with this stoichiometry, meV per atom: 904.3



(3)
ReTeSe2 after structural relaxation, computed with PBE.

Cell: 3.1683 5.0922 10.8070 Å, 90.00 90.00 90.00°
Space group Cmm2 (No. 35)
Symmetry-distinct sites (fractional):
1 Re 0.0000 0.0000 0.0000
2 Te 0.0000 0.5000 0.2162
3 Se 0.0000 0.0000 0.5072
4 Se 0.0000 0.5000 0.8191



(4)
ReTe3Se after structural relaxation, computed with PBE.

Cell: 5.2101 5.2101 5.2101 Å, 90.00 90.00 90.00°
Space group Pm-3m (No. 221)
Symmetry-distinct sites (fractional):
1 Re 0.0000 0.0000 0.0000
2 Te 0.0000 0.0000 0.5000
3 Se 0.5000 0.5000 0.5000

Properties
Energy above the lowest structure with this stoichiometry, meV per atom: 0.0



(5)
ReTeSe2 after structural relaxation, computed with PBE.

Cell: 4.8065 4.8065 3.2779 Å, 90.00 90.00 90.00°
Space group P4/mmm (No. 123)
Symmetry-distinct sites (fractional):
1 Re 0.0000 0.0000 0.0000
2 Te 0.5000 0.5000 0.0000
3 Se 0.0000 0.5000 0.5000



(6)
ReTeSe2 after structural relaxation, computed with PBE.

Cell: 2.8586 3.1624 11.6847 Å, 90.00 91.33 90.00°
Space group P2/m (No. 10)
Symmetry-distinct sites (fractional):
1 Re 0.0000 0.0000 0.0000
2 Te 0.0000 0.0000 0.5000
3 Se 0.0157 0.5000 0.1646



(7)
ReTe2Se2 after structural relaxation, computed with PBE.

Cell: 3.4925 3.4925 21.5445 Å, 90.00 90.00 90.00°
Space group I4/mmm (No. 139)
Symmetry-distinct sites (fractional):
1 Re 0.0000 0.0000 0.0000
2 Te 0.0000 0.0000 0.4256
3 Se 0.0000 0.5000 0.2500



(8)
ReTeSe2 after structural relaxation, computed with PBE.

Cell: 6.8250 6.8250 9.3374 Å, 90.00 90.00 90.00°
Space group I-42d (No. 122)
Symmetry-distinct sites (fractional):
1 Re 0.0000 0.0000 0.0000
2 Te 0.0000 0.0000 0.5000
3 Se 0.1706 0.2500 0.1250



(9)
ReTeSe2 after structural relaxation, computed with PBE.

Cell: 3.0707 3.0707 9.2199 Å, 90.00 90.00 90.00°
Space group P4mm (No. 99)
Symmetry-distinct sites (fractional):
1 Re 0.0000 0.0000 0.0000
2 Te 0.5000 0.5000 0.7995
3 Se 0.0000 0.0000 0.4920
4 Se 0.5000 0.5000 0.1640



(10)
ReTeSe2 after structural relaxation, computed with PBE.

Cell: 3.1673 3.8062 7.2130 Å, 90.00 90.00 90.00°
Space group Pmm2 (No. 25)
Symmetry-distinct sites (fractional):
1 Re 0.0000 0.0000 0.0000
2 Te 0.5000 0.5000 0.7536
3 Se 0.0000 0.0000 0.3545
4 Se 0.5000 0.5000 0.1481



(11)
ReTeSe2 after structural relaxation, computed with PBE.

Cell: 3.1821 3.1821 34.5249 Å, 90.00 90.00 120.00°
Space group R-3m (No. 166, hexagonal axes)
Symmetry-distinct sites (fractional):
1 Re 0.0000 0.0000 0.0000
2 Te 0.0000 0.0000 0.5000
3 Se 0.0000 0.0000 0.3849



(12)
Re4TeSe7 after structural relaxation, computed with PBE.

Cell: 17.8742 5.0811 5.6607 Å, 90.00 90.00 90.00°
Space group Pmn2_1 (No. 31)
Symmetry-distinct sites (fractional):
1 Re 0.1340 0.1817 0.0000
2 Re 0.2411 0.1341 0.6363
3 Te 0.0000 0.7468 0.4511
4 Se 0.0000 0.2140 0.1139
5 Se 0.1034 0.1878 0.5884
6 Se 0.1254 0.7157 0.1049
7 Se 0.2483 0.3329 0.2199



no.,VASP energy (eV per atom),spin magnetization (μB/cell)
1,-7.43,0.00
2,-6.60,0.00
3,-5.06,0.00
4,-4.36,0.00
5,-4.71,0.00
6,-5.41,0.00
7,-4.67,0.00
8,-5.16,0.00
9,-5.34,0.00
10,-5.12,0.00
11,-5.56,0.00
12,-6.27,0.00